Below is Li2P2Pd after structural relaxation, with properties calculated at the PBE-GGA level.

Theoretical density, kg/m³: 4097
E_tot, eV per atom: -4.612
Space-group type: No. 127

a = 6.054 Å, b = 6.054 Å, c = 4.031 Å
α = 90.00°, β = 90.00°, γ = 90.00°
Positions (direct):
1 Li 0.326 0.174 0.500
2 Li 0.826 0.326 0.500
3 Li 0.174 0.674 0.500
4 Li 0.674 0.826 0.500
5 P 0.629 0.129 0.000
6 P 0.129 0.371 0.000
7 P 0.871 0.629 0.000
8 P 0.371 0.871 0.000
9 Pd 0.000 0.000 0.000
10 Pd 0.500 0.500 0.000